Record 1
Here is crystalline Nd2Sm2GeRh4 at its relaxed geometry from Alexandria. Energies are from PBE.

Cell lengths 6.703, 6.703, 8.962 Å; angles 90.00, 90.00, 90.00 degrees
Space group I4/mmm (No. 139)
Asymmetric unit:
Nd 0.000 0.500 0.250 [4 per cell]
Sm 0.000 0.000 0.182 [4 per cell]
Ge 0.000 0.000 0.500 [2 per cell]
Rh 0.244 0.244 0.000 [8 per cell]

=====

Record 2
Here is crystalline NdSnGeRh3 at its relaxed geometry from Alexandria. Energies are from PBE.

Cell lengths 5.741, 15.919, 5.791 Å; angles 90.00, 90.00, 90.00 degrees
Space group Cmcm (No. 63)
Asymmetric unit:
Nd 0.000 0.220 0.250 [4 per cell]
Sn 0.000 0.101 0.750 [4 per cell]
Ge 0.000 0.415 0.750 [4 per cell]
Rh 0.000 0.263 0.750 [4 per cell]
Rh 0.246 0.500 0.000 [8 per cell]

=====

Record 3
Here is crystalline Nd2SnGe3Rh4 at its relaxed geometry from Alexandria. Energies are from PBE.

Cell lengths 4.303, 4.303, 10.390 Å; angles 90.00, 90.00, 90.00 degrees
Space group P-4m2 (No. 115)
Asymmetric unit:
Nd 0.000 0.500 0.247 [2 per cell]
Sn 0.000 0.000 0.500 [1 per cell]
Ge 0.000 0.500 0.875 [2 per cell]
Ge 0.500 0.500 0.500 [1 per cell]
Rh 0.000 0.000 0.000 [1 per cell]
Rh 0.000 0.500 0.641 [2 per cell]
Rh 0.500 0.500 0.000 [1 per cell]

=====

Record 4
Here is crystalline NdSnGe2Rh5 at its relaxed geometry from Alexandria. Energies are from PBE.

Cell lengths 4.122, 4.122, 10.603 Å; angles 90.00, 90.00, 90.00 degrees
Space group P4/mmm (No. 123)
Asymmetric unit:
Nd 0.000 0.000 0.000 [1 per cell]
Sn 0.000 0.000 0.500 [1 per cell]
Ge 0.500 0.500 0.224 [2 per cell]
Rh 0.000 0.500 0.342 [4 per cell]
Rh 0.500 0.500 0.000 [1 per cell]

=====

Record 5
Here is crystalline TbNd2Ge3Rh4 at its relaxed geometry from Alexandria. Energies are from PBE.

Cell lengths 4.199, 4.199, 11.213 Å; angles 90.00, 90.00, 90.00 degrees
Space group P-4m2 (No. 115)
Asymmetric unit:
Tb 0.000 0.000 0.000 [1 per cell]
Nd 0.000 0.500 0.729 [2 per cell]
Ge 0.000 0.500 0.379 [2 per cell]
Ge 0.500 0.500 0.000 [1 per cell]
Rh 0.000 0.000 0.500 [1 per cell]
Rh 0.000 0.500 0.159 [2 per cell]
Rh 0.500 0.500 0.500 [1 per cell]

=====

Record 6
Here is crystalline TbNdGeRh at its relaxed geometry from Alexandria. Energies are from PBE.

Cell lengths 4.200, 4.187, 10.685 Å; angles 90.00, 90.00, 90.00 degrees
Space group Amm2 (No. 38)
Asymmetric unit:
Tb 0.000 0.000 0.000 [2 per cell]
Nd 0.500 0.000 0.281 [2 per cell]
Ge 0.000 0.000 0.707 [2 per cell]
Rh 0.500 0.000 0.556 [2 per cell]

=====

Record 7
Here is crystalline TbNdGe2Rh5 at its relaxed geometry from Alexandria. Energies are from PBE.

Cell lengths 4.216, 4.216, 9.018 Å; angles 90.00, 90.00, 90.00 degrees
Space group P4/mmm (No. 123)
Asymmetric unit:
Tb 0.000 0.000 0.000 [1 per cell]
Nd 0.000 0.000 0.500 [1 per cell]
Ge 0.500 0.500 0.140 [2 per cell]
Rh 0.000 0.500 0.267 [4 per cell]
Rh 0.500 0.500 0.500 [1 per cell]

=====

Record 8
Here is crystalline TbNdGeRh at its relaxed geometry from Alexandria. Energies are from PBE.

Cell lengths 7.144, 7.144, 7.144 Å; angles 90.00, 90.00, 90.00 degrees
Space group F-43m (No. 216)
Asymmetric unit:
Tb 0.000 0.000 0.000 [4 per cell]
Nd 0.000 0.000 0.500 [4 per cell]
Ge 0.250 0.250 0.750 [4 per cell]
Rh 0.250 0.250 0.250 [4 per cell]

=====

no.,calculated formation energy (meV/atom),total magnetic moment (Bohr magnetons per cell)
1,-442,0.0
2,-504,0.0
3,-823,0.0
4,-429,0.0
5,-874,0.0
6,-814,0.0
7,-690,0.0
8,-652,0.0